The following is a DFT calculation (GGA-PBE) of a relaxed InFe4As12 crystal.

## Properties
size of the total moment	5.90	μB per cell
E_form	-2.44	eV per formula unit
uncorrected energy	-189.6	eV per cell
crystal system	cubic

Cell: 8.3993 8.3993 8.3993 Å, 90.00 90.00 90.00°
Space group Im-3 (No. 204)
Unique sites:
1 In 0.0000 0.0000 0.0000 (multiplicity 2)
2 Fe 0.2500 0.2500 0.2500 (multiplicity 8)
3 As 0.0000 0.3435 0.1537 (multiplicity 24)